[1]
Material: LaReH3
Method: DFT, PBE-GGA
State: relaxed

Results
Total DFT energy (no corrections) = -28.210 eV/f.u.
Crystal system = cubic
Density = 9.90 Mg/m³

a b c (Å): 3.803 3.803 3.803
angles (deg): 90.00 90.00 90.00
Positions (direct):
Re 0.000 0.000 0.000
H 0.000 0.500 0.000
H 0.000 0.000 0.500
H 0.500 0.000 0.000
La 0.500 0.500 0.500

[2]
Material: La2ReH
Method: DFT, PBE-GGA
State: relaxed

Results
Total DFT energy (no corrections) = -24.627 eV/f.u.
Crystal system = cubic
Density = 9.12 Mg/m³

a b c (Å): 4.928 4.928 4.928
angles (deg): 60.00 60.00 60.00
Positions (direct):
Re 0.500 0.500 0.500
H 0.000 0.000 0.000
La 0.250 0.250 0.250
La 0.750 0.750 0.750

[3]
Material: LaReH3
Method: DFT, PBE-GGA
State: relaxed

Results
Total DFT energy (no corrections) = -21.239 eV/f.u.
Crystal system = cubic
Density = 8.06 Mg/m³

a b c (Å): 4.074 4.074 4.074
angles (deg): 90.00 90.00 90.00
Positions (direct):
Re 0.500 0.500 0.500
H 0.000 0.500 0.000
H 0.000 0.000 0.500
H 0.500 0.000 0.000
La 0.000 0.000 0.000

[4]
Material: LaRe2H8
Method: DFT, PBE-GGA
State: relaxed

Results
Total DFT energy (no corrections) = -57.638 eV/f.u.
Crystal system = monoclinic
Density = 9.14 Mg/m³

a b c (Å): 4.759 4.747 4.747
angles (deg): 118.18 88.12 88.12
Positions (direct):
La 0.100 0.065 0.065
Re 0.570 0.639 0.334
Re 0.570 0.334 0.639
H 0.331 0.030 0.580
H 0.331 0.580 0.030
H 0.776 0.668 0.668
H 0.907 0.199 0.646
H 0.907 0.646 0.199
H 0.267 0.551 0.551
H 0.621 0.257 0.998
H 0.621 0.998 0.257

[5]
Material: La3ReH
Method: DFT, PBE-GGA
State: relaxed

Results
Total DFT energy (no corrections) = -29.144 eV/f.u.
Crystal system = cubic
Density = 8.75 Mg/m³

a b c (Å): 4.858 4.858 4.858
angles (deg): 90.00 90.00 90.00
Positions (direct):
Re 0.500 0.500 0.500
H 0.000 0.000 0.000
La 0.000 0.500 0.000
La 0.000 0.000 0.500
La 0.500 0.000 0.000

[6]
Material: LaRe2H2
Method: DFT, PBE-GGA
State: relaxed

Results
Total DFT energy (no corrections) = -34.252 eV/f.u.
Crystal system = tetragonal
Density = 11.10 Mg/m³

a b c (Å): 3.782 3.782 5.995
angles (deg): 71.61 71.61 90.00
Positions (direct):
Re 0.272 0.272 0.455
Re 0.728 0.728 0.545
H 0.750 0.250 0.500
H 0.250 0.750 0.500
La 0.000 0.000 0.000

- Among the records above, which one has the lowest density?
  number 3